(1)
Below is NaAc3Nd2Se6 after structural relaxation, with properties calculated at the PBE level.

The calculated volume comes out at 29.21 Å³/atom. The calculation puts the formation energy from raw total energies at -1.8010 eV per atom.

The structure belongs to space group C2/m (No. 12); the cell edges are 7.5688, 13.1429 and 7.4888 Å and the angles 90.00°, 109.79° and 90.00°. The asymmetric unit holds Na at (0.0000, 0.0000, 0.0000), Ac at (0.0000, 0.1658, 0.5000), Ac at (0.0000, 0.5000, 0.5000), Nd at (0.0000, 0.3339, 0.0000), Se at (0.2439, 0.1657, 0.2357) and Se at (0.2475, 0.5000, 0.2326).

***

(2)
Below is NaAcNdSi after structural relaxation, with properties calculated at the PBE level.

The calculated volume comes out at 28.61 Å³/atom. The calculation puts the formation energy from raw total energies at -0.1075 eV per atom.

The structure belongs to space group F-43m (No. 216); the cell edges are 7.7070, 7.7070 and 7.7070 Å and the angles 90.00°, 90.00° and 90.00°. The asymmetric unit holds Na at (0.0000, 0.0000, 0.0000), Ac at (0.2500, 0.2500, 0.7500), Nd at (0.2500, 0.2500, 0.2500) and Si at (0.0000, 0.0000, 0.5000).

***

(3)
Below is NaAcNd2Te4 after structural relaxation, with properties calculated at the PBE level.

The calculated volume comes out at 34.15 Å³/atom. The calculation puts the formation energy from raw total energies at -1.4076 eV per atom.

The structure belongs to space group P2/m (No. 10); the cell edges are 7.8617, 4.5476 and 8.0771 Å and the angles 90.00°, 108.90° and 90.00°. The asymmetric unit holds Na at (0.0000, 0.0000, 0.0000), Ac at (0.5000, 0.5000, 0.0000), Nd at (0.0000, 0.5000, 0.5000), Nd at (0.5000, 0.0000, 0.5000), Te at (0.2404, 0.0000, 0.7412) and Te at (0.2481, 0.5000, 0.2573).